VASP calculation (PBE) on a relaxed structure of NdAs2Pd.

- Space-group type: C2, No. 5
- M_tot: 0.00 μB/cell
- Total energy: -5.722 eV per atom
- Energy relative to the elements: -0.907 eV per atom
- Crystal system: monoclinic

a b c (Å): 4.154 4.153 5.957
angles (deg): 110.41 110.43 89.97
Fractional positions:
Nd: 0.221 0.881 0.228
As: 0.841 0.499 0.470
As: 0.603 0.262 0.987
Pd: 0.470 0.633 0.728

VASP calculation (PBE) on a relaxed structure of Nd3As4Pd2.

- Space-group type: C2/m, No. 12
- M_tot: 0.00 μB/cell
- Total energy: -5.860 eV per atom
- Energy relative to the elements: -1.051 eV per atom
- Crystal system: monoclinic

a b c (Å): 4.308 6.391 8.713
angles (deg): 114.12 90.00 109.70
Fractional positions:
Nd: 0.639 0.279 0.725
Nd: 0.000 0.000 0.000
Nd: 0.361 0.721 0.275
As: 0.684 0.369 0.099
As: 0.316 0.631 0.901
As: 0.929 0.859 0.594
As: 0.071 0.141 0.406
Pd: 0.675 0.349 0.385
Pd: 0.325 0.651 0.615

VASP calculation (PBE) on a relaxed structure of NdAs2Pd.

- Space-group type: R-3m, No. 166
- M_tot: 0.00 μB/cell
- Total energy: -4.904 eV per atom
- Energy relative to the elements: -0.089 eV per atom
- Crystal system: trigonal

a b c (Å): 3.581 3.581 9.174
angles (deg): 78.75 78.75 60.00
Fractional positions:
As: 0.111 0.111 0.668
As: 0.889 0.889 0.332
Nd: 0.000 0.000 0.000
Pd: 0.500 0.500 0.500